Tm3ScTl4: optimized geometry, PBE.

## Properties
Crystal system = tetragonal
DFT formation energy = -2.27 eV/f.u.
Distance to the lowest polymorph of the same formula = 0.00 eV per formula unit
Calculated total energy = -31.48 eV per cell

Cell: 3.646 3.646 15.432 Å, 90.00 90.00 90.00°
Positions (direct):
Sc 0.500 0.500 0.000
Tl 0.000 0.000 0.884
Tl 0.000 0.000 0.116
Tl 0.000 0.000 0.371
Tl 0.000 0.000 0.629
Tm 0.500 0.500 0.243
Tm 0.500 0.500 0.500
Tm 0.500 0.500 0.757



Tm4Sc3Tl4: optimized geometry, PBE.

## Properties
Crystal system = orthorhombic
DFT formation energy = -1.80 eV/f.u.
Calculated total energy = -48.14 eV per cell

Cell: 3.458 9.236 10.427 Å, 116.29 99.55 90.00°
Positions (direct):
Tm 0.340 0.155 0.680
Tm 0.660 0.475 0.320
Tm 0.660 0.845 0.320
Tm 0.340 0.525 0.680
Sc 0.093 0.093 0.186
Sc 0.907 0.907 0.814
Sc 0.000 0.500 0.000
Tl 0.274 0.774 0.548
Tl 0.726 0.226 0.452
Tl 0.500 0.780 0.000
Tl 0.500 0.220 0.000



Tm8Sc2Tl: optimized geometry, PBE.

## Properties
Crystal system = monoclinic
DFT formation energy = -0.28 eV/f.u.
Calculated total energy = -51.08 eV per cell

Cell: 4.838 7.683 9.024 Å, 105.44 105.55 90.00°
Positions (direct):
Tm 0.405 0.551 0.811
Tm 0.683 0.913 0.365
Tm 0.862 0.815 0.723
Tm 0.954 0.277 0.908
Tm 0.138 0.185 0.277
Tm 0.317 0.087 0.635
Tm 0.595 0.449 0.189
Tm 0.046 0.723 0.092
Sc 0.776 0.366 0.552
Sc 0.224 0.634 0.448
Tl 0.500 0.000 0.000



Tm2Sc3Tl: optimized geometry, PBE.

## Properties
Crystal system = orthorhombic
DFT formation energy = -0.31 eV/f.u.
Distance to the lowest polymorph of the same formula = 0.15 eV per formula unit
Calculated total energy = -30.61 eV per cell

Cell: 5.152 3.751 8.272 Å, 103.10 90.00 90.00°
Positions (direct):
Tm 0.000 0.664 0.327
Tm 0.000 0.336 0.673
Sc 0.500 0.173 0.346
Sc 0.500 0.500 0.000
Sc 0.500 0.827 0.654
Tl 0.000 0.000 0.000



TmSc6Tl3: optimized geometry, PBE.

## Properties
Crystal system = orthorhombic
DFT formation energy = -0.91 eV/f.u.
Calculated total energy = -100.94 eV per cell

Cell: 7.989 8.088 8.088 Å, 96.10 90.00 90.00°
Positions (direct):
Tm 0.993 0.319 0.681
Tm 0.493 0.681 0.319
Sc 0.163 0.731 0.596
Sc 0.663 0.596 0.731
Sc 0.311 0.577 0.941
Sc 0.811 0.941 0.577
Sc 0.182 0.041 0.959
Sc 0.586 0.227 0.773
Sc 0.086 0.773 0.227
Sc 0.682 0.959 0.041
Sc 0.311 0.059 0.423
Sc 0.811 0.423 0.059
Sc 0.163 0.404 0.269
Sc 0.663 0.269 0.404
Tl 0.461 0.894 0.723
Tl 0.961 0.723 0.894
Tl 0.354 0.415 0.585
Tl 0.854 0.585 0.415
Tl 0.961 0.106 0.277
Tl 0.461 0.277 0.106



Tm3Sc4Tl4: optimized geometry, PBE.

## Properties
Crystal system = orthorhombic
DFT formation energy = -1.74 eV/f.u.
Calculated total energy = -49.95 eV per cell

Cell: 4.508 8.203 9.215 Å, 116.43 104.16 90.00°
Positions (direct):
Tm 0.118 0.118 0.237
Tm 0.882 0.882 0.763
Tm 0.000 0.500 0.000
Sc 0.327 0.128 0.654
Sc 0.673 0.474 0.346
Sc 0.673 0.872 0.346
Sc 0.327 0.526 0.654
Tl 0.224 0.724 0.447
Tl 0.776 0.276 0.553
Tl 0.500 0.804 0.000
Tl 0.500 0.196 0.000



Tm5ScTl3: optimized geometry, PBE.

## Properties
Crystal system = hexagonal
DFT formation energy = -2.15 eV/f.u.
Calculated total energy = -75.87 eV per cell

Cell: 6.579 9.188 9.188 Å, 120.00 90.00 90.00°
Positions (direct):
Tm 0.000 0.667 0.333
Tm 0.500 0.333 0.667
Tm 0.000 0.333 0.667
Tm 0.500 0.667 0.333
Tm 0.750 0.676 0.676
Tm 0.750 0.000 0.324
Tm 0.750 0.324 0.000
Tm 0.250 0.324 0.324
Tm 0.250 0.000 0.676
Tm 0.250 0.676 0.000
Sc 0.000 0.000 0.000
Sc 0.500 0.000 0.000
Tl 0.750 0.339 0.339
Tl 0.750 0.000 0.661
Tl 0.750 0.661 0.000
Tl 0.250 0.661 0.661
Tl 0.250 0.000 0.339
Tl 0.250 0.339 0.000



Tm3Sc2Tl4: optimized geometry, PBE.

## Properties
Crystal system = orthorhombic
DFT formation energy = -0.87 eV/f.u.
Calculated total energy = -72.83 eV per cell

Cell: 6.907 9.794 8.138 Å, 90.00 115.11 90.00°
Positions (direct):
Tm 0.000 0.000 0.000
Tm 0.500 0.500 0.000
Tm 0.535 0.750 0.570
Tm 0.965 0.250 0.430
Tm 0.465 0.250 0.430
Tm 0.035 0.750 0.570
Sc 0.102 0.532 0.204
Sc 0.898 0.468 0.796
Sc 0.398 0.032 0.796
Sc 0.602 0.968 0.204
Tl 0.756 0.750 0.012
Tl 0.744 0.250 0.988
Tl 0.244 0.250 0.988
Tl 0.256 0.750 0.012
Tl 0.201 0.982 0.403
Tl 0.799 0.018 0.597
Tl 0.299 0.482 0.597
Tl 0.701 0.518 0.403



Number 1: D(E_F) 0.67 states/eV/atom. Number 2: D(E_F) 1.13 states/eV/atom. Number 3: D(E_F) 1.49 states/eV/atom. Number 4: D(E_F) 1.06 states/eV/atom. Number 5: D(E_F) 1.58 states/eV/atom. Number 6: D(E_F) 0.86 states/eV/atom. Number 7: D(E_F) 1.06 states/eV/atom. Number 8: D(E_F) 0.81 states/eV/atom.